Record 1
# Li2AgMo

Crystalline Li2AgMo at its relaxed geometry (GGA-PBEsol, Alexandria).

Values from the calculation:
* raw total energy: -4.35 eV per atom
* calculated formation energy: 0.405 eV per atom

a b c (Å): 2.6084 4.8083 4.9357
angles (deg): 90.00 90.00 90.00
Closest atoms and distances in Å follow each position.
Element x y z (fractional)
Li (0.0000, 0.0000, 0.0000)  6 Li 2.61-2.79, 4 Mo 2.74
Li (0.5000, 0.0000, 0.5000)  6 Li 2.61-2.79, 4 Ag 2.74
Ag (0.0000, 0.5000, 0.5000)  2 Ag 2.61, 4 Li 2.74, 4 Mo 2.79
Mo (0.5000, 0.5000, 0.0000)  2 Mo 2.61, 4 Li 2.74, 4 Ag 2.79

Record 2
# Mn3InAs

Crystalline Mn3InAs at its relaxed geometry (GGA-PBEsol, Alexandria).

Values from the calculation:
* raw total energy: -6.04 eV per atom
* calculated formation energy: 1.432 eV per atom

a b c (Å): 4.8790 4.8790 4.8790
angles (deg): 90.00 90.00 90.00
Closest atoms and distances in Å follow each position.
Element x y z (fractional)
Mn (0.0000, 0.0000, 0.5000)  2 In 2.44
Mn (0.0000, 0.5000, 0.0000)  2 In 2.44
Mn (0.5000, 0.0000, 0.0000)  2 In 2.44
In (0.0000, 0.0000, 0.0000)  6 Mn 2.44
As (0.5000, 0.5000, 0.5000)  12 Mn 3.45

Record 3
# MgScBr2

Crystalline MgScBr2 at its relaxed geometry (GGA-PBEsol, Alexandria).

Values from the calculation:
* formation energy without anion corrections: -261 kJ/mol of formula units
* raw total energy: -3.69 eV per atom

a b c (Å): 6.7649 8.8836 3.5116
angles (deg): 90.00 117.33 90.00
Closest atoms and distances in Å follow each position.
Element x y z (fractional)
Mg (0.0000, 0.0000, 0.0000)  4 Br 2.79
Mg (0.5000, 0.5000, 0.0000)  4 Br 2.79
Sc (0.0000, 0.5000, 0.0000)  4 Br 2.79
Sc (0.5000, 0.0000, 0.0000)  4 Br 2.79
Br (0.2500, 0.2500, 0.0000)  2 Mg 2.79, 2 Sc 2.79
Br (0.2500, 0.7500, 0.0000)  2 Mg 2.79, 2 Sc 2.79
Br (0.7500, 0.2500, 0.0000)  2 Mg 2.79, 2 Sc 2.79
Br (0.7500, 0.7500, 0.0000)  2 Sc 2.79, 2 Mg 2.79

Record 4
# BaYPd2

Crystalline BaYPd2 at its relaxed geometry (GGA-PBEsol, Alexandria).

Values from the calculation:
* raw total energy: -5.68 eV per atom
* calculated formation energy: -0.459 eV per atom

a b c (Å): 7.2512 7.2512 7.2512
angles (deg): 90.00 90.00 90.00
Closest atoms and distances in Å follow each position.
Element x y z (fractional)
Ba (0.0000, 0.0000, 0.0000)  8 Pd 3.14
Ba (0.0000, 0.5000, 0.5000)  8 Pd 3.14
Ba (0.5000, 0.0000, 0.5000)  8 Pd 3.14
Ba (0.5000, 0.5000, 0.0000)  8 Pd 3.14
Y (0.0000, 0.0000, 0.5000)  8 Pd 3.14
Y (0.0000, 0.5000, 0.0000)  8 Pd 3.14
Y (0.5000, 0.0000, 0.0000)  8 Pd 3.14
Y (0.5000, 0.5000, 0.5000)  8 Pd 3.14
Pd (0.2500, 0.2500, 0.2500)  4 Ba 3.14, 4 Y 3.14
Pd (0.2500, 0.2500, 0.7500)  4 Ba 3.14, 4 Y 3.14
Pd (0.2500, 0.7500, 0.2500)  4 Ba 3.14, 4 Y 3.14
Pd (0.2500, 0.7500, 0.7500)  4 Ba 3.14, 4 Y 3.14
Pd (0.7500, 0.2500, 0.2500)  4 Ba 3.14, 4 Y 3.14
Pd (0.7500, 0.2500, 0.7500)  4 Ba 3.14, 4 Y 3.14
Pd (0.7500, 0.7500, 0.2500)  4 Ba 3.14, 4 Y 3.14
Pd (0.7500, 0.7500, 0.7500)  4 Ba 3.14, 4 Y 3.14

Record 5
# Li3CuPO5

Crystalline Li3CuPO5 at its relaxed geometry (GGA-PBEsol, Alexandria).

Values from the calculation:
* formation energy without anion corrections: -1892 kJ/mol of formula units
* raw total energy: -6.19 eV per atom

a b c (Å): 5.3270 15.3959 4.9051
angles (deg): 90.00 90.00 90.00
Closest atoms and distances in Å follow each position.
Element x y z (fractional)
Li (0.1578, 0.0922, 0.0000)  4 O 1.86-1.99
Li (0.1676, 0.6960, 0.0007)  4 O 1.94-2.01
Li (0.1693, 0.5003, 0.0016)  4 O 1.96-1.99
Li (0.3307, 0.0003, 0.5016)  4 O 1.96-1.99
Li (0.3324, 0.1960, 0.5007)  4 O 1.94-2.01
Li (0.3422, 0.5922, 0.5000)  4 O 1.86-1.99
Li (0.6578, 0.4078, 0.0000)  4 O 1.86-1.99
Li (0.6676, 0.8040, 0.0007)  4 O 1.94-2.01
Li (0.6693, 0.9997, 0.0016)  4 O 1.96-1.99
Li (0.8307, 0.4997, 0.5016)  4 O 1.96-1.99
Li (0.8324, 0.3040, 0.5007)  4 O 1.94-2.01
Li (0.8422, 0.9078, 0.5000)  4 O 1.86-1.99
Cu (0.1651, 0.2873, 0.0161)  2 O 1.82
Cu (0.3349, 0.7873, 0.5161)  2 O 1.82
Cu (0.6651, 0.2127, 0.0161)  2 O 1.82
Cu (0.8349, 0.7127, 0.5161)  2 O 1.82
P (0.1689, 0.8995, 0.9977)  4 O 1.55-1.56
P (0.3311, 0.3995, 0.4977)  4 O 1.55-1.56
P (0.6689, 0.6005, 0.9977)  4 O 1.55-1.56
P (0.8311, 0.1005, 0.4977)  4 O 1.55-1.56
O (0.1054, 0.0982, 0.6018)  1 P 1.55
O (0.1593, 0.6897, 0.6057)  2 Cu 1.82, 2 Li 1.86-1.94
O (0.1703, 0.9010, 0.6794)  1 P 1.56
O (0.1838, 0.4797, 0.6036)  1 P 1.55
O (0.1991, 0.3145, 0.5948)  1 P 1.56
O (0.3009, 0.8145, 0.0948)  1 P 1.56
O (0.3162, 0.9797, 0.1036)  1 P 1.55
O (0.3297, 0.4010, 0.1794)  1 P 1.56
O (0.3407, 0.1897, 0.1057)  2 Cu 1.82, 2 Li 1.86-1.94
O (0.3946, 0.5982, 0.1018)  1 P 1.55
O (0.6054, 0.4018, 0.6018)  1 P 1.55
O (0.6593, 0.8103, 0.6057)  2 Cu 1.82, 2 Li 1.86-1.94
O (0.6703, 0.5990, 0.6794)  1 P 1.56
O (0.6838, 0.0203, 0.6036)  1 P 1.55
O (0.6991, 0.1855, 0.5948)  1 P 1.56
O (0.8009, 0.6855, 0.0948)  1 P 1.56
O (0.8162, 0.5203, 0.1036)  1 P 1.55
O (0.8297, 0.0990, 0.1794)  1 P 1.56
O (0.8407, 0.3103, 0.1057)  2 Cu 1.82, 2 Li 1.86-1.94
O (0.8946, 0.9018, 0.1018)  1 P 1.55

Record 6
# TaSbNO2

Crystalline TaSbNO2 at its relaxed geometry (GGA-PBEsol, Alexandria).

Values from the calculation:
* formation energy without anion corrections: -578 kJ/mol of formula units
* raw total energy: -8.42 eV per atom

a b c (Å): 3.9542 3.9542 4.1755
angles (deg): 90.00 90.00 90.00
Closest atoms and distances in Å follow each position.
Element x y z (fractional)
Ta (0.0000, 0.0000, 0.0000)  4 O 1.98, 2 N 2.09
Sb (0.5000, 0.5000, 0.5000)  4 N 2.80, 8 O 2.88
N (0.0000, 0.0000, 0.5000)  2 Ta 2.09
O (0.0000, 0.5000, 0.0000)  2 Ta 1.98
O (0.5000, 0.0000, 0.0000)  2 Ta 1.98

Record 7
# SrZnInB2

Crystalline SrZnInB2 at its relaxed geometry (GGA-PBEsol, Alexandria).

Values from the calculation:
* raw total energy: -1.83 eV per atom
* calculated formation energy: 2.253 eV per atom

a b c (Å): 4.9061 4.9061 6.2214
angles (deg): 90.00 90.00 90.00
Closest atoms and distances in Å follow each position.
Element x y z (fractional)
Sr (0.0000, 0.0000, 0.0000)  4 B 2.45
Zn (0.5000, 0.5000, 0.5000)  4 In 3.47
In (0.0000, 0.0000, 0.5000)  2 Sr 3.11, 4 Zn 3.47
B (0.0000, 0.5000, 0.0000)  2 Sr 2.45
B (0.5000, 0.0000, 0.0000)  2 Sr 2.45

Record 8
# SrLa2TcN

Crystalline SrLa2TcN at its relaxed geometry (GGA-PBEsol, Alexandria).

Values from the calculation:
* formation energy without anion corrections: 422 kJ/mol of formula units
* raw total energy: -5.59 eV per atom

a b c (Å): 5.1173 5.1173 5.6547
angles (deg): 90.00 90.00 90.00
Closest atoms and distances in Å follow each position.
Element x y z (fractional)
Sr (0.0000, 0.0000, 0.0000)  2 Tc 2.83
La (0.0000, 0.5000, 0.5000)  2 Tc 2.56
La (0.5000, 0.0000, 0.5000)  2 Tc 2.56
Tc (0.0000, 0.0000, 0.5000)  4 La 2.56, 2 Sr 2.83
N (0.5000, 0.5000, 0.0000)  4 Sr 3.62, 8 La 3.81